Here is a relaxed structure of YMn from Alexandria via LeMat-Bulk. Energies are from PBE-GGA.

Cell: 11.0568 3.3129 5.1471 Å, 90.00 108.20 90.00°
Space group C2/m (No. 12)
Unique sites:
1 Y 0.1054 0.0000 0.3213 (multiplicity 4)
2 Mn 0.1556 0.5000 0.8586 (multiplicity 4)

Values from the calculation:
- Energy of formation from the pure elements: 0.25 eV per atom
- V: 179.1 Å³ per cell
- Magnetic moment: 3.031 μB per formula unit

=====

Here is a relaxed structure of YMn12 from Alexandria via LeMat-Bulk. Energies are from PBE-GGA.

Cell: 8.2726 8.2726 4.7072 Å, 90.00 90.00 90.00°
Space group I4/mmm (No. 139)
Unique sites:
1 Y 0.0000 0.0000 0.0000 (multiplicity 2)
2 Mn 0.0000 0.2297 0.5000 (multiplicity 8)
3 Mn 0.0000 0.3653 0.0000 (multiplicity 8)
4 Mn 0.2500 0.2500 0.2500 (multiplicity 8)

Values from the calculation:
- Energy of formation from the pure elements: 0.01 eV per atom
- V: 322.1 Å³ per cell
- Magnetic moment: 2.602 μB per formula unit

=====

Here is a relaxed structure of YMn3Zn from Alexandria via LeMat-Bulk. Energies are from PBE-GGA.

Cell: 4.9332 4.9332 4.9332 Å, 90.00 90.00 90.00°
Space group Pm-3m (No. 221)
Unique sites:
1 Y 0.0000 0.0000 0.0000 (multiplicity 1)
2 Mn 0.0000 0.0000 0.5000 (multiplicity 3)
3 Zn 0.5000 0.5000 0.5000 (multiplicity 1)

Values from the calculation:
- Energy of formation from the pure elements: 1.66 eV per atom
- Relative energy among the computed polymorphs: 98.8 kJ per mole of atoms
- V: 120.1 Å³ per cell
- Magnetic moment: 10.399 μB per formula unit

=====

Here is a relaxed structure of YMn2Zn from Alexandria via LeMat-Bulk. Energies are from PBE-GGA.

Cell: 3.1520 4.3871 5.5180 Å, 90.00 102.19 90.00°
Space group P2/m (No. 10)
Unique sites:
1 Y 0.0000 0.0000 0.0000 (multiplicity 1)
2 Mn 0.3456 0.5000 0.7182 (multiplicity 2)
3 Zn 0.5000 0.0000 0.5000 (multiplicity 1)

Values from the calculation:
- Energy of formation from the pure elements: 0.27 eV per atom
- V: 74.6 Å³ per cell
- Magnetic moment: 6.660 μB per formula unit

=====

Here is a relaxed structure of YMnZn from Alexandria via LeMat-Bulk. Energies are from PBE-GGA.

Cell: 4.4945 4.4945 3.5113 Å, 90.00 90.00 120.00°
Space group P-6m2 (No. 187)
Unique sites:
1 Y 0.0000 0.0000 0.0000 (multiplicity 1)
2 Mn 0.3333 0.6667 0.5000 (multiplicity 1)
3 Zn 0.6667 0.3333 0.5000 (multiplicity 1)

Values from the calculation:
- Energy of formation from the pure elements: -0.04 eV per atom
- V: 61.4 Å³ per cell
- Magnetic moment: 3.139 μB per formula unit

=====

Here is a relaxed structure of YMnZn from Alexandria via LeMat-Bulk. Energies are from PBE-GGA.

Cell: 6.5142 6.5142 6.5142 Å, 90.00 90.00 90.00°
Space group F-43m (No. 216)
Unique sites:
1 Y 0.0000 0.0000 0.0000 (multiplicity 4)
2 Mn 0.0000 0.0000 0.5000 (multiplicity 4)
3 Zn 0.2500 0.2500 0.2500 (multiplicity 4)

Values from the calculation:
- Energy of formation from the pure elements: 0.26 eV per atom
- V: 276.4 Å³ per cell
- Magnetic moment: 3.684 μB per formula unit

=====

Here is a relaxed structure of YMnZn3 from Alexandria via LeMat-Bulk. Energies are from PBE-GGA.

Cell: 4.6183 4.6183 4.6183 Å, 90.00 90.00 90.00°
Space group Pm-3m (No. 221)
Unique sites:
1 Y 0.0000 0.0000 0.0000 (multiplicity 1)
2 Mn 0.5000 0.5000 0.5000 (multiplicity 1)
3 Zn 0.0000 0.5000 0.5000 (multiplicity 3)

Values from the calculation:
- Energy of formation from the pure elements: 0.16 eV per atom
- V: 98.5 Å³ per cell
- Magnetic moment: 1.330 μB per formula unit

=====

Here is a relaxed structure of YMnZn from Alexandria via LeMat-Bulk. Energies are from PBE-GGA.

Cell: 3.3412 3.3412 6.5530 Å, 90.00 90.00 120.00°
Space group P3m1 (No. 156)
Unique sites:
1 Y 0.0000 0.0000 0.0000 (multiplicity 1)
2 Mn 0.3333 0.6667 0.6399 (multiplicity 1)
3 Zn 0.6667 0.3333 0.3649 (multiplicity 1)

Values from the calculation:
- Energy of formation from the pure elements: 0.28 eV per atom
- V: 63.4 Å³ per cell
- Magnetic moment: 3.182 μB per formula unit

=====

Here is a relaxed structure of Y4MnZn from Alexandria via LeMat-Bulk. Energies are from PBE-GGA.

Cell: 8.8218 8.8218 8.8218 Å, 90.00 90.00 90.00°
Space group F-43m (No. 216)
Unique sites:
1 Y 0.1253 0.1253 0.1253 (multiplicity 16)
2 Mn 0.0000 0.0000 0.5000 (multiplicity 4)
3 Zn 0.2500 0.2500 0.7500 (multiplicity 4)

Values from the calculation:
- Energy of formation from the pure elements: 0.66 eV per atom
- V: 686.5 Å³ per cell
- Magnetic moment: 4.090 μB per formula unit

=====

Here is a relaxed structure of YMn2Zn from Alexandria via LeMat-Bulk. Energies are from PBE-GGA.

Cell: 4.1574 4.1574 3.9863 Å, 90.00 90.00 90.00°
Space group P4/mmm (No. 123)
Unique sites:
1 Y 0.0000 0.0000 0.0000 (multiplicity 1)
2 Mn 0.0000 0.5000 0.5000 (multiplicity 2)
3 Zn 0.5000 0.5000 0.0000 (multiplicity 1)

Values from the calculation:
- Energy of formation from the pure elements: 0.20 eV per atom
- V: 68.9 Å³ per cell
- Magnetic moment: 5.389 μB per formula unit

=====

Here is a relaxed structure of YMnZn from Alexandria via LeMat-Bulk. Energies are from PBE-GGA.

Cell: 3.3732 3.3732 10.3541 Å, 90.00 90.00 90.00°
Space group I4mm (No. 107)
Unique sites:
1 Y 0.0000 0.0000 0.0000 (multiplicity 2)
2 Mn 0.0000 0.0000 0.3131 (multiplicity 2)
3 Zn 0.0000 0.0000 0.6990 (multiplicity 2)

Values from the calculation:
- Energy of formation from the pure elements: 0.00 eV per atom
- V: 117.8 Å³ per cell
- Magnetic moment: 3.013 μB per formula unit

=====

Here is a relaxed structure of YMn2Zn from Alexandria via LeMat-Bulk. Energies are from PBE-GGA.

Cell: 10.3106 3.3480 4.8002 Å, 90.00 117.57 90.00°
Space group C2/m (No. 12)
Unique sites:
1 Y 0.0000 0.0000 0.0000 (multiplicity 2)
2 Mn 0.2231 0.0000 0.7228 (multiplicity 4)
3 Zn 0.0000 0.5000 0.5000 (multiplicity 2)

Values from the calculation:
- Energy of formation from the pure elements: 0.23 eV per atom
- V: 146.9 Å³ per cell
- Magnetic moment: 6.615 μB per formula unit